[1]
# Nd2SmCd6

A relaxed structure of Nd2SmCd6 (PBE-GGA, Alexandria).

a = 8.7933 Å, b = 8.7933 Å, c = 3.4557 Å
α = 90.00°, β = 90.00°, γ = 120.00°
Closest atoms and distances in Å follow each position.
Fractional coordinates of all 9 atoms:
Nd  0.3333  0.6667  0.0000  12 Cd 3.41, 2 Nd 3.46
Nd  0.6667  0.3333  0.0000  12 Cd 3.41, 2 Nd 3.46
Sm  0.0000  0.0000  0.0000  12 Cd 3.39, 2 Sm 3.46
Cd  0.0000  0.3321  0.5000  3 Cd 2.92-2.95
Cd  0.0000  0.6679  0.5000  3 Cd 2.92-2.95
Cd  0.3321  0.0000  0.5000  3 Cd 2.92-2.95
Cd  0.3321  0.3321  0.5000  3 Cd 2.92-2.95
Cd  0.6679  0.0000  0.5000  3 Cd 2.92-2.95
Cd  0.6679  0.6679  0.5000  3 Cd 2.92-2.95

Properties
Space group ... P6/mmm
E_form ... -0.342 eV per atom

[2]
# Ba2NaTlBr6

A relaxed structure of Ba2NaTlBr6 (PBE-GGA, Alexandria).

a = 8.6172 Å, b = 8.6172 Å, c = 8.6172 Å
α = 56.38°, β = 56.38°, γ = 56.38°
Closest atoms and distances in Å follow each position.
Fractional coordinates of all 10 atoms:
Ba  0.0000  0.0000  0.0000  6 Br 3.22-3.29
Ba  0.4943  0.4943  0.4943  6 Br 3.24-3.28
Na  0.6962  0.6962  0.6962  6 Br 3.05-3.10
Tl  0.2033  0.2033  0.2033  6 Br 3.28-3.45
Br  0.0759  0.4185  0.7940  1 Na 3.05, 2 Ba 3.24-3.29
Br  0.3125  0.8834  0.6079  1 Na 3.10, 2 Ba 3.22-3.28, 1 Tl 3.28
Br  0.4185  0.7940  0.0759  1 Na 3.05, 2 Ba 3.24-3.29
Br  0.6079  0.3125  0.8834  1 Na 3.10, 2 Ba 3.22-3.28, 1 Tl 3.28
Br  0.7940  0.0759  0.4185  1 Na 3.05, 2 Ba 3.24-3.29
Br  0.8834  0.6079  0.3125  1 Na 3.10, 2 Ba 3.22-3.28, 1 Tl 3.28

Properties
Space group ... R3
DFT total energy ... -35.3 eV per cell

[3]
# Tb6TmSc3

A relaxed structure of Tb6TmSc3 (PBE-GGA, Alexandria).

a = 3.5357 Å, b = 10.8316 Å, c = 16.4482 Å
α = 73.32°, β = 89.97°, γ = 80.62°
Closest atoms and distances in Å follow each position.
Fractional coordinates of all 20 atoms:
Tb  0.0167  0.4661  0.3646  5 Sc 3.38-3.54, 7 Tb 3.40-3.59
Tb  0.1835  0.1327  0.9408  4 Sc 3.42-3.51, 8 Tb 3.43-3.55
Tb  0.1828  0.1343  0.4417  7 Tb 3.40-3.54, 3 Tm 3.45-3.56, 2 Sc 3.54
Tb  0.3838  0.7308  0.2421  4 Sc 3.39-3.51, 6 Tb 3.43-3.54, 2 Tm 3.52
Tb  0.3853  0.7285  0.7455  7 Tb 3.36-3.59, 4 Sc 3.38-3.54, 1 Tm 3.49
Tb  0.4174  0.6664  0.9579  6 Tb 3.36-3.55, 6 Sc 3.42-3.52
Tb  0.5826  0.3336  0.0421  6 Tb 3.36-3.55, 6 Sc 3.42-3.52
Tb  0.6147  0.2715  0.2545  7 Tb 3.36-3.59, 4 Sc 3.38-3.54, 1 Tm 3.49
Tb  0.6162  0.2692  0.7579  4 Sc 3.39-3.51, 6 Tb 3.43-3.54, 2 Tm 3.52
Tb  0.8172  0.8657  0.5583  7 Tb 3.40-3.54, 3 Tm 3.45-3.56, 2 Sc 3.54
Tb  0.8165  0.8673  0.0592  4 Sc 3.42-3.51, 8 Tb 3.43-3.55
Tb  0.9833  0.5339  0.6354  5 Sc 3.38-3.54, 7 Tb 3.40-3.59
Tm  0.2166  0.0675  0.6596  4 Sc 3.40-3.42, 6 Tb 3.45-3.56, 2 Tm 3.54
Tm  0.7834  0.9325  0.3404  4 Sc 3.40-3.42, 6 Tb 3.45-3.56, 2 Tm 3.54
Sc  0.0172  0.4655  0.8592  10 Tb 3.38-3.54, 2 Sc 3.54
Sc  0.2176  0.0646  0.1591  2 Tm 3.40, 8 Tb 3.43-3.54, 2 Sc 3.54
Sc  0.4168  0.6670  0.4561  7 Tb 3.38-3.54, 2 Tm 3.41-3.42, 3 Sc 3.44-3.54
Sc  0.5832  0.3330  0.5439  7 Tb 3.38-3.54, 2 Tm 3.41-3.42, 3 Sc 3.44-3.54
Sc  0.7824  0.9354  0.8409  2 Tm 3.40, 8 Tb 3.43-3.54, 2 Sc 3.54
Sc  0.9828  0.5345  0.1408  10 Tb 3.38-3.54, 2 Sc 3.54

Properties
Space group ... P-1
Relative energy among the computed polymorphs ... 0.0 kJ/mol of atoms
E_form ... 0.028 eV per atom

[4]
# Th2CdAs3Rh12

A relaxed structure of Th2CdAs3Rh12 (PBE-GGA, Alexandria).

a = 6.8436 Å, b = 6.8436 Å, c = 6.8436 Å
α = 83.07°, β = 83.07°, γ = 83.07°
Closest atoms and distances in Å follow each position.
Fractional coordinates of all 18 atoms:
Th  0.1424  0.1424  0.1424  3 Rh 2.56
Th  0.8576  0.8576  0.8576  3 Rh 2.56
Cd  0.5000  0.5000  0.5000  6 Rh 2.69
As  0.0000  0.5000  0.5000  6 Rh 2.39-2.67
As  0.5000  0.0000  0.5000  6 Rh 2.39-2.67
As  0.5000  0.5000  0.0000  6 Rh 2.39-2.67
Rh  0.1216  0.1216  0.6081  3 Rh 2.67-2.96, 2 As 2.67, 1 Th 2.96
Rh  0.1216  0.6081  0.1216  3 Rh 2.67-2.96, 2 As 2.67, 1 Th 2.96
Rh  0.1733  0.6852  0.6852  1 As 2.39, 1 Th 2.56, 1 Rh 2.67
Rh  0.3148  0.3148  0.8267  1 As 2.39, 1 Th 2.56, 1 Rh 2.67
Rh  0.3148  0.8267  0.3148  1 As 2.39, 1 Th 2.56, 1 Rh 2.67
Rh  0.3919  0.8784  0.8784  3 Rh 2.67-2.96, 2 As 2.67, 1 Th 2.96
Rh  0.6081  0.1216  0.1216  3 Rh 2.67-2.96, 2 As 2.67, 1 Th 2.96
Rh  0.6852  0.1733  0.6852  1 As 2.39, 1 Th 2.56, 1 Rh 2.67
Rh  0.6852  0.6852  0.1733  1 As 2.39, 1 Th 2.56, 1 Rh 2.67
Rh  0.8267  0.3148  0.3148  1 As 2.39, 1 Th 2.56, 1 Rh 2.67
Rh  0.8784  0.3919  0.8784  3 Rh 2.67-2.96, 2 As 2.67, 1 Th 2.96
Rh  0.8784  0.8784  0.3919  3 Rh 2.67-2.96, 2 As 2.67, 1 Th 2.96

Properties
Space group ... R-3m
E_form ... -0.288 eV per atom

Sequential total magnetic moment output: 0.34 0.00 0.01 0.00 μB per cell